The following is a PBEsol calculation of a geometry-optimized Li3MgIn structure, from the Alexandria database.

As for the density of states at the Fermi level: 0.402 states/eV per atom. For the calculated formation energy, the calculation gives 0.353 eV per atom. The value obtained for the calculated volume is 119 Å³/cell. The value obtained for the final energy is -1.767 eV/atom. For the magnetic moment, the calculation gives 0.0 μB per formula unit.

```
data_Li3MgIn
_cell_length_a 4.925
_cell_length_b 4.925
_cell_length_c 4.925
_cell_angle_alpha 90.00
_cell_angle_beta 90.00
_cell_angle_gamma 90.00
_space_group_name_H-M_alt 'P m -3 m'
_space_group_IT_number 221
_space_group_name_Hall '-P 4 2 3'
loop_
_atom_site_label
_atom_site_fract_x
_atom_site_fract_y
_atom_site_fract_z
_atom_site_occupancy
Li1 0.000 0.000 0.500 1
Mg1 0.000 0.000 0.000 1
In1 0.500 0.500 0.500 1
```